1.
DFT (PBE-GGA) results for a relaxed structure of FePSe2.

```
FePSe2
1.0
2.098 0.000 7.591
-1.049 1.817 7.591
-1.049 -1.817 7.591
Se P Fe
2 1 1
Direct
0.899 0.899 0.899 Se
0.101 0.101 0.101 Se
0.500 0.500 0.500 P
0.000 0.000 0.000 Fe
```

Its total energy is -4.752 eV/atom. Its formation energy from raw total energies is 0.459 eV per atom.

***

2.
DFT (PBE-GGA) results for a relaxed structure of Fe2PSe.

```
Fe2PSe
1.0
-3.972 1.790 2.593
-3.008 -0.910 -3.978
-4.448 -4.313 1.120
P Se Fe
2 2 4
Direct
0.250 0.750 0.500 P
0.500 0.500 0.000 P
0.000 0.000 0.000 Se
0.750 0.250 0.500 Se
0.875 0.851 0.750 Fe
0.375 0.399 0.750 Fe
0.149 0.625 0.250 Fe
0.601 0.125 0.250 Fe
```

Its total energy is -6.462 eV/atom. Its formation energy from raw total energies is -0.007 eV per atom.

***

Question: Which value of formation energy from raw total energies does entry 2 give?
Answer: -0.007 eV per atom

***

Question: Which value of formation energy from raw total energies does entry 1 give?
Answer: 0.459 eV per atom

***

Question: Among the records above, which one has the lowest formation energy from raw total energies?
Answer: Fe2PSe